Version one
The following is a DFT calculation (PBE-GGA) of PbAu3N after structural relaxation.

CIF file:
```
data_PbAu3N
_symmetry_space_group_name_H-M 'P 1'
_symmetry_Int_Tables_number 1
_cell_length_a 4.5988
_cell_length_b 4.5988
_cell_length_c 4.5988
_cell_angle_alpha 90.00
_cell_angle_beta 90.00
_cell_angle_gamma 90.00
loop_
_symmetry_equiv_pos_as_xyz
'x,y,z'
loop_
_atom_site_label
_atom_site_type_symbol
_atom_site_fract_x
_atom_site_fract_y
_atom_site_fract_z
Au1 Au 0.0000 0.0000 0.5000
Au2 Au 0.0000 0.5000 0.0000
Au3 Au 0.5000 0.0000 0.0000
N1 N 0.0000 0.0000 0.0000
Pb1 Pb 0.5000 0.5000 0.5000
```

* calculated volume: 19.5 A^3/atom
* space-group type: Pm-3m, No. 221



Version two
The following is a DFT calculation (PBE-GGA) of PbAu3N after structural relaxation.

CIF file:
```
data_PbAu3N
_symmetry_space_group_name_H-M 'P 1'
_symmetry_Int_Tables_number 1
_cell_length_a 5.4342
_cell_length_b 5.4342
_cell_length_c 5.4342
_cell_angle_alpha 90.00
_cell_angle_beta 90.00
_cell_angle_gamma 90.00
loop_
_symmetry_equiv_pos_as_xyz
'x,y,z'
loop_
_atom_site_label
_atom_site_type_symbol
_atom_site_fract_x
_atom_site_fract_y
_atom_site_fract_z
Au1 Au 0.5000 0.0000 0.0000
Au2 Au 0.0000 0.5000 0.0000
Au3 Au 0.0000 0.0000 0.5000
N1 N 0.5000 0.5000 0.5000
Pb1 Pb 0.0000 0.0000 0.0000
```

* calculated volume: 32.1 A^3/atom
* space-group type: Pm-3m, No. 221



Comparing the structures above, version one comes out on top by 0.934 eV/atom.